No. 1
Below is a relaxed structure of AsOs2Br, with properties calculated at the PBEsol level.

Lattice parameters (Å, degrees): 3.057 3.057 6.659 90.00 90.00 90.00
Space group P4/mmm (No. 123)
Symmetry-distinct sites (fractional):
1 As 0.000 0.000 0.000 (multiplicity 1)
2 Os 0.500 0.500 0.208 (multiplicity 2)
3 Br 0.000 0.000 0.500 (multiplicity 1)

* density of states at the Fermi level: 3.19 states/eV/f.u.
* energy above the lowest structure with this stoichiometry: 1.62 eV per formula unit

No. 2
Below is a relaxed structure of AsOs2Br, with properties calculated at the PBEsol level.

Lattice parameters (Å, degrees): 2.9057 2.9057 28.3609 90.00 90.00 120.00
Space group R3m (No. 160, hexagonal axes)
Symmetry-distinct sites (fractional):
1 As 0.0000 0.0000 0.0000 (multiplicity 3)
2 Os 0.0000 0.0000 0.4746 (multiplicity 3)
3 Os 0.0000 0.0000 0.7352 (multiplicity 3)
4 Br 0.0000 0.0000 0.2148 (multiplicity 3)

* density of states at the Fermi level: 3.66 states/eV/f.u.
* energy above the lowest structure with this stoichiometry: 0.00 eV per formula unit

No. 3
Below is a relaxed structure of AsOs2Br, with properties calculated at the PBEsol level.

Lattice parameters (Å, degrees): 6.229 6.229 6.229 90.00 90.00 90.00
Space group Fm-3m (No. 225)
Symmetry-distinct sites (fractional):
1 As 0.000 0.000 0.000 (multiplicity 4)
2 Os 0.250 0.250 0.250 (multiplicity 8)
3 Br 0.000 0.000 0.500 (multiplicity 4)

* density of states at the Fermi level: 3.09 states/eV/f.u.
* energy above the lowest structure with this stoichiometry: 2.20 eV per formula unit

No. 4
Below is a relaxed structure of As2POsBr, with properties calculated at the PBEsol level.

Lattice parameters (Å, degrees): 4.649 4.649 5.170 90.00 90.00 90.00
Space group P4/mmm (No. 123)
Symmetry-distinct sites (fractional):
1 As 0.000 0.500 0.000 (multiplicity 2)
2 P 0.000 0.000 0.500 (multiplicity 1)
3 Os 0.500 0.500 0.000 (multiplicity 1)
4 Br 0.500 0.500 0.500 (multiplicity 1)

* total DFT energy (no corrections): -5.05 eV per atom
* density of states at the Fermi level: 4.47 states/eV/f.u.

No. 5
Below is a relaxed structure of AsOsPtBr2, with properties calculated at the PBEsol level.

Lattice parameters (Å, degrees): 4.967 4.967 4.624 90.00 90.00 90.00
Space group P4/mmm (No. 123)
Symmetry-distinct sites (fractional):
1 As 0.000 0.000 0.000 (multiplicity 1)
2 Os 0.000 0.000 0.500 (multiplicity 1)
3 Pt 0.500 0.500 0.000 (multiplicity 1)
4 Br 0.000 0.500 0.500 (multiplicity 2)

* total DFT energy (no corrections): -4.40 eV per atom
* density of states at the Fermi level: 7.03 states/eV/f.u.

No. 6
Below is a relaxed structure of RbAs2OsBr, with properties calculated at the PBEsol level.

Lattice parameters (Å, degrees): 4.709 4.709 5.836 90.00 90.00 90.00
Space group P4/mmm (No. 123)
Symmetry-distinct sites (fractional):
1 Rb 0.000 0.000 0.000 (multiplicity 1)
2 As 0.000 0.500 0.500 (multiplicity 2)
3 Os 0.500 0.500 0.500 (multiplicity 1)
4 Br 0.500 0.500 0.000 (multiplicity 1)

* density of states at the Fermi level: 3.01 states/eV/f.u.
* energy above the lowest structure with this stoichiometry: 0.00 eV per formula unit